(1)
# Ho2MgSn3

A relaxed Ho2MgSn3 crystal (GGA-PBE, the Alexandria database).

Lattice parameters (Å, degrees): 13.343 8.773 5.896 90.00 90.00 90.00
Space group Cmcm (No. 63)
Unique sites:
Ho  0.148  0.191  0.250
Mg  0.000  0.411  0.750
Sn  0.000  0.084  0.750
Sn  0.187  0.500  0.000

ΔE_f, eV per atom: -0.308
Total energy, eV per atom: -4.101
Total magnetization, Bohr magnetons per cell: 0.0

***

(2)
# PrNdHo2

A relaxed PrNdHo2 crystal (GGA-PBE, the Alexandria database).

Lattice parameters (Å, degrees): 3.6179 3.6179 35.0450 90.00 90.00 120.00
Space group R-3m (No. 166, hexagonal axes)
Unique sites:
Pr  0.0000  0.0000  0.0000
Nd  0.0000  0.0000  0.5000
Ho  0.0000  0.0000  0.2497

ΔE_f, eV per atom: 0.013
Total energy, eV per atom: -4.663
Total magnetization, Bohr magnetons per cell: 0.0